Entry 1:
A relaxed Zr2AgRh2 crystal, computed with PBE-GGA.

Lattice parameters (Å, degrees): 7.437 7.437 7.437 150.14 150.14 42.73
Atoms (fractional coordinates):
Zr (0.617, 0.617, 0.000)
Zr (0.383, 0.383, 0.000)
Ag (0.000, 0.000, 0.000)
Rh (0.250, 0.750, 0.500)
Rh (0.750, 0.250, 0.500)

## Properties
SG = I4/mmm (139)

=====

Entry 2:
A relaxed ZrAg2Rh crystal, computed with PBE-GGA.

Lattice parameters (Å, degrees): 4.654 4.654 4.654 60.00 60.00 60.00
Atoms (fractional coordinates):
Ag (0.000, 0.000, 0.000)
Ag (0.250, 0.250, 0.250)
Rh (0.500, 0.500, 0.500)
Zr (0.750, 0.750, 0.750)

## Properties
SG = F-43m (216)

=====

Entry 3:
A relaxed Zr2AgRh2 crystal, computed with PBE-GGA.

Lattice parameters (Å, degrees): 7.832 7.832 3.099 90.00 90.00 90.00
Atoms (fractional coordinates):
Rh (0.142, 0.642, 0.500)
Rh (0.642, 0.858, 0.500)
Rh (0.858, 0.358, 0.500)
Rh (0.358, 0.142, 0.500)
Zr (0.348, 0.848, 0.000)
Zr (0.848, 0.652, 0.000)
Zr (0.652, 0.152, 0.000)
Zr (0.152, 0.348, 0.000)
Ag (0.000, 0.000, 0.000)
Ag (0.500, 0.500, 0.000)

## Properties
SG = P4/mbm (127)

=====

Entry 4:
A relaxed ZrAg2Rh crystal, computed with PBE-GGA.

Lattice parameters (Å, degrees): 3.426 3.536 6.926 59.31 90.00 90.00
Atoms (fractional coordinates):
Ag (0.000, 0.986, 0.015)
Ag (0.500, 0.257, 0.243)
Rh (0.000, 0.482, 0.518)
Zr (0.500, 0.776, 0.724)

## Properties
SG = Pmm2 (25)

=====

Entry 5:
A relaxed AgRu2 crystal, computed with PBE-GGA.

Lattice parameters (Å, degrees): 4.368 4.368 5.709 90.00 90.00 120.00
Atoms (fractional coordinates):
Ag (0.000, 0.000, 0.250)
Ag (0.000, 0.000, 0.750)
Ru (0.333, 0.667, 0.033)
Ru (0.333, 0.667, 0.467)
Ru (0.667, 0.333, 0.533)
Ru (0.667, 0.333, 0.967)

## Properties
SG = P6_3/mmc (194)

=====

Entry 6:
A relaxed Ag3Ru crystal, computed with PBE-GGA.

Lattice parameters (Å, degrees): 5.466 5.466 5.466 117.38 117.38 117.38
Site moments in Bohr magnetons follow the coordinates.
Atoms (fractional coordinates):
Ag (0.000, 0.000, 0.000)  0.01
Ag (0.000, 0.500, 0.500)  0.01
Ag (0.500, 0.500, 0.000)  0.01
Ru (0.500, 0.000, 0.500)  0.35

## Properties
SG = R-3m (166)

=====

Entry 7:
A relaxed Ag5Ru crystal, computed with PBE-GGA.

Lattice parameters (Å, degrees): 5.330 5.330 4.765 90.00 90.00 120.00
Site moments in Bohr magnetons follow the coordinates.
Atoms (fractional coordinates):
Ag (0.000, 0.500, 0.500)  0.00
Ag (0.333, 0.667, 0.000)  0.01
Ag (0.500, 0.000, 0.500)  0.00
Ag (0.500, 0.500, 0.500)  0.00
Ag (0.667, 0.333, 0.000)  0.01
Ru (0.000, 0.000, 0.000)  2.24

## Properties
SG = P6/mmm (191)

=====

Entry 8:
A relaxed AgRu crystal, computed with PBE-GGA.

Lattice parameters (Å, degrees): 2.753 7.009 3.624 90.00 90.00 78.68
Atoms (fractional coordinates):
Ag (0.577, 0.847, 0.250)
Ag (0.423, 0.153, 0.750)
Ru (0.790, 0.419, 0.250)
Ru (0.210, 0.581, 0.750)

## Properties
SG = Cmcm (63)

=====

ΔH_f (0 K) values, unit eV per atom, following the record order: -0.20; -0.16; -0.39; -0.25; 0.55; 0.46; 0.69; 0.45.